A plane-wave DFT calculation with PBE-GGA was carried out for a geometry-optimized NdIBr structure.

Cell and atoms, written as POSCAR:
```
NdIBr
1.0
4.1327 0.0000 0.0000
-2.0663 3.5790 0.0000
0.0000 0.0000 7.8778
Nd I Br
1 1 1
direct
0.0000 0.0000 0.0000 Nd
0.3333 0.6667 0.7352 I
0.6667 0.3333 0.2341 Br
```

Calculated values
Calculated total energy, eV/cell: -12.39
Formation energy from raw total energies, eV/atom: -1.466
Size of the total moment, μB per formula unit: 0.00
Crystal system: trigonal
Energy relative to the lowest polymorph listed for this composition, kJ/mol of atoms: 3.82
DOS(E_F), states/eV per cell: 1.6